Material: TaAlPb
Method: DFT, GGA-PBEsol
State: optimized geometry

```
data_TaAlPb
_chemical_formula_sum 'Ta4 Al4 Pb4'
_cell_length_a 6.556
_cell_length_b 6.556
_cell_length_c 6.556
_cell_angle_alpha 90.00
_cell_angle_beta 90.00
_cell_angle_gamma 90.00
_space_group_name_H-M_alt 'F -4 3 m'
_space_group_IT_number 216
_space_group_name_Hall 'F -4 2 3'
loop_
_atom_site_label
_atom_site_fract_x
_atom_site_fract_y
_atom_site_fract_z
Ta1 0.000 0.000 0.000
Al1 0.250 0.250 0.250
Pb1 0.250 0.250 0.750
```

## Properties
The calculation puts the formation energy at 0.853 eV/atom.

Material: Fe3Co3Si2
Method: DFT, GGA-PBEsol
State: optimized geometry

```
data_Fe3Co3Si2
_chemical_formula_sum 'Fe9 Co9 Si6'
_cell_length_a 3.9142
_cell_length_b 3.9142
_cell_length_c 19.1986
_cell_angle_alpha 90.00
_cell_angle_beta 90.00
_cell_angle_gamma 120.00
_space_group_name_H-M_alt 'R 3 m'
_space_group_IT_number 160
_space_group_name_Hall 'R 3 -2"'
loop_
_atom_site_label
_atom_site_fract_x
_atom_site_fract_y
_atom_site_fract_z
Fe1 0.0000 0.0000 0.0000
Fe2 0.0000 0.0000 0.1240
Fe3 0.0000 0.0000 0.6255
Co1 0.0000 0.0000 0.2487
Co2 0.0000 0.0000 0.4999
Co3 0.0000 0.0000 0.7510
Si1 0.0000 0.0000 0.3741
Si2 0.0000 0.0000 0.8756
```

## Properties
The calculation puts the formation energy (no corrections) at -409 meV per atom.

Material: Mg2AsO5
Method: DFT, GGA-PBEsol
State: optimized geometry

```
data_Mg2AsO5
_chemical_formula_sum 'Mg8 As4 O20'
_cell_length_a 8.238
_cell_length_b 8.394
_cell_length_c 6.146
_cell_angle_alpha 90.00
_cell_angle_beta 90.00
_cell_angle_gamma 90.00
_space_group_name_H-M_alt 'P n n m'
_space_group_IT_number 58
loop_
_space_group_symop_operation_xyz
'x,y,z'
'-x,-y,-z'
'-x,-y,z'
'x,y,-z'
'x+1/2,-y+1/2,-z+1/2'
'-x+1/2,y+1/2,z+1/2'
'-x+1/2,y+1/2,-z+1/2'
'x+1/2,-y+1/2,z+1/2'
loop_
_atom_site_label
_atom_site_fract_x
_atom_site_fract_y
_atom_site_fract_z
Mg1 0.000 0.000 0.247
Mg2 0.126 0.354 0.500
As1 0.242 0.245 0.000
O1 0.117 0.596 0.500
O2 0.121 0.225 0.225
O3 0.145 0.916 0.500
O4 0.145 0.921 0.000
```

## Properties
The calculation puts the formation energy (no corrections) at -1855 meV per atom.

Material: AlW2Cl
Method: DFT, GGA-PBEsol
State: optimized geometry

```
data_AlW2Cl
_chemical_formula_sum 'Al2 W4 Cl2'
_cell_length_a 3.780
_cell_length_b 3.780
_cell_length_c 8.881
_cell_angle_alpha 90.00
_cell_angle_beta 90.00
_cell_angle_gamma 90.00
_space_group_name_H-M_alt 'I 4/m m m'
_space_group_IT_number 139
_space_group_name_Hall '-I 4 2'
loop_
_atom_site_label
_atom_site_fract_x
_atom_site_fract_y
_atom_site_fract_z
Al1 0.000 0.000 0.000
W1 0.000 0.500 0.250
Cl1 0.000 0.000 0.500
```

## Properties
The calculation puts the formation energy (no corrections) at 1101 meV per atom. As for the excess energy over the best structure of this formula in the dataset: 0.708 eV per atom.